Compound: AlSe3S
Source: Alexandria via LeMat-Bulk
Functional: meta-GGA SCAN
Structure: single point on PBEsol structure

* formation energy (no corrections): 2.72 eV per formula unit

Lattice parameters (Å, degrees): 4.7965 4.7965 4.7965 90.00 90.00 90.00
Atoms (fractional coordinates):
1 Al 0.0000 0.0000 0.0000
2 Se 0.0000 0.5000 0.5000
3 Se 0.5000 0.0000 0.5000
4 Se 0.5000 0.5000 0.0000
5 S 0.5000 0.5000 0.5000